## w
A relaxed BeNbBr2 crystal, computed with PBE.

Results
The density of states at the Fermi level is 1.8 states/eV/f.u. For the magnetic moment, the calculation gives 0.000 μB/f.u.

abc: 6.565 6.565 6.565
angles: 90.00 90.00 90.00
Space group Fm-3m (No. 225)
Asymmetric unit:
Be 0.000 0.000 0.000 [4 per cell]
Nb 0.000 0.000 0.500 [4 per cell]
Br 0.250 0.250 0.250 [8 per cell]

## x
A relaxed BeNbBr2 crystal, computed with PBE.

Results
The density of states at the Fermi level is 4.2 states/eV/f.u. For the magnetic moment, the calculation gives 0.000 μB/f.u.

abc: 3.2685 3.2685 24.5462
angles: 90.00 90.00 120.00
Space group R-3m (No. 166, hexagonal axes)
Asymmetric unit:
Be 0.0000 0.0000 0.0000 [3 per cell]
Nb 0.0000 0.0000 0.5000 [3 per cell]
Br 0.0000 0.0000 0.3913 [6 per cell]

## y
A relaxed BeNbBr2 crystal, computed with PBE.

Results
The density of states at the Fermi level is 1.6 states/eV/f.u. For the magnetic moment, the calculation gives 1.049 μB/f.u.

abc: 5.755 5.755 10.221
angles: 90.00 90.00 90.00
Space group I-42d (No. 122)
Asymmetric unit:
Be 0.000 0.000 0.000 [4 per cell]
Nb 0.000 0.000 0.500 [4 per cell]
Br 0.186 0.250 0.125 [8 per cell]

x takes first place; second place is 364 meV/atom up.

## w
A relaxed Be3NbBr crystal, computed with PBE.

Results
The density of states at the Fermi level is 4.0 states/eV/f.u. For the magnetic moment, the calculation gives 1.397 μB/f.u.

abc: 4.271 4.271 4.271
angles: 90.00 90.00 90.00
Space group Pm-3m (No. 221)
Asymmetric unit:
Be 0.000 0.000 0.500 [3 per cell]
Nb 0.500 0.500 0.500 [1 per cell]
Br 0.000 0.000 0.000 [1 per cell]

## x
A relaxed Be3NbBr crystal, computed with PBE.

Results
The density of states at the Fermi level is 6.3 states/eV/f.u. For the magnetic moment, the calculation gives 1.849 μB/f.u.

abc: 4.748 4.748 4.748
angles: 90.00 90.00 90.00
Space group Pm-3m (No. 221)
Asymmetric unit:
Be 0.000 0.000 0.500 [3 per cell]
Nb 0.000 0.000 0.000 [1 per cell]
Br 0.500 0.500 0.500 [1 per cell]

w takes first place; second place is 208 meV/atom up.

## w
A relaxed BeNb2Br crystal, computed with PBE.

Results
The density of states at the Fermi level is 5.4 states/eV/f.u. For the magnetic moment, the calculation gives 0.000 μB/f.u.

abc: 6.336 6.336 6.336
angles: 90.00 90.00 90.00
Space group Fm-3m (No. 225)
Asymmetric unit:
Be 0.000 0.000 0.000 [4 per cell]
Nb 0.250 0.250 0.250 [8 per cell]
Br 0.000 0.000 0.500 [4 per cell]

## x
A relaxed BeNb2Br crystal, computed with PBE.

Results
The density of states at the Fermi level is 2.3 states/eV/f.u. For the magnetic moment, the calculation gives 0.000 μB/f.u.

abc: 5.180 5.180 12.589
angles: 90.00 90.00 90.00
Space group I-42d (No. 122)
Asymmetric unit:
Be 0.000 0.000 0.000 [4 per cell]
Nb 0.177 0.250 0.125 [8 per cell]
Br 0.000 0.000 0.500 [4 per cell]

w takes first place; second place is 444 meV/atom up.